# Cs2HCl6F, relaxed, DFT PBE
# Raw total energy: -48.135 eV per cell
# Crystal system: tetragonal
# N(E_F): 0.00 states/eV/f.u.
data_Cs2HCl6F
_space_group_name_H-M_alt 'I 4/m m m'
_space_group_IT_number 139
_space_group_name_Hall '-I 4 2'
_cell_length_a 7.3716
_cell_length_b 7.3716
_cell_length_c 10.9546
_cell_angle_alpha 90.00
_cell_angle_beta 90.00
_cell_angle_gamma 90.00
loop_
_atom_site_label
_atom_site_type_symbol
_atom_site_fract_x
_atom_site_fract_y
_atom_site_fract_z
_atom_site_occupancy
Cs1 Cs 0.0000 0.5000 0.2500 1
H1 H 0.0000 0.0000 0.0000 1
Cl1 Cl 0.0000 0.0000 0.3128 1
Cl2 Cl 0.1896 0.1896 0.0000 1
F1 F 0.0000 0.0000 0.5000 1

---

# CeErCo2P2, relaxed, DFT PBE
# Crystal system: trigonal
# N(E_F): 6.96 states/eV/f.u.
# Calculated formation energy: -1.09 eV/atom
data_CeErCo2P2
_space_group_name_H-M_alt 'P -3 m 1'
_space_group_IT_number 164
_space_group_name_Hall '-P 3 2"'
_cell_length_a 3.8658
_cell_length_b 3.8658
_cell_length_c 7.7964
_cell_angle_alpha 90.00
_cell_angle_beta 90.00
_cell_angle_gamma 120.00
loop_
_atom_site_label
_atom_site_type_symbol
_atom_site_fract_x
_atom_site_fract_y
_atom_site_fract_z
_atom_site_occupancy
Ce1 Ce 0.0000 0.0000 0.0000 1
Er1 Er 0.0000 0.0000 0.5000 1
Co1 Co 0.3333 0.6667 0.7626 1
P1 P 0.3333 0.6667 0.2649 1

---

# Pm4TeAs2Pb, relaxed, DFT PBE
# Formation energy without anion corrections: -1.276 eV/atom
# Crystal system: monoclinic
# N(E_F): 1.82 states/eV/f.u.
data_Pm4TeAs2Pb
_space_group_name_H-M_alt 'P 1 2/m 1'
_space_group_IT_number 10
_space_group_name_Hall '-P 2y'
_cell_length_a 7.5679
_cell_length_b 4.2806
_cell_length_c 7.6883
_cell_angle_alpha 90.00
_cell_angle_beta 108.48
_cell_angle_gamma 90.00
loop_
_atom_site_label
_atom_site_type_symbol
_atom_site_fract_x
_atom_site_fract_y
_atom_site_fract_z
_atom_site_occupancy
Pm1 Pm 0.2387 0.0000 0.2261 1
Pm2 Pm 0.2590 0.5000 0.7727 1
Te1 Te 0.5000 0.5000 0.5000 1
As1 As 0.0000 0.5000 0.0000 1
As2 As 0.5000 0.0000 0.0000 1
Pb1 Pb 0.0000 0.0000 0.5000 1

---

# NaLiNbSb2, relaxed, DFT PBE
# Formation energy without anion corrections: 0.494 eV/atom
# Crystal system: tetragonal
# N(E_F): 3.19 states/eV/f.u.
data_NaLiNbSb2
_space_group_name_H-M_alt 'P 4/m m m'
_space_group_IT_number 123
_space_group_name_Hall '-P 4 2'
_cell_length_a 5.0901
_cell_length_b 5.0901
_cell_length_c 4.3092
_cell_angle_alpha 90.00
_cell_angle_beta 90.00
_cell_angle_gamma 90.00
loop_
_atom_site_label
_atom_site_type_symbol
_atom_site_fract_x
_atom_site_fract_y
_atom_site_fract_z
_atom_site_occupancy
Na1 Na 0.0000 0.0000 0.0000 1
Li1 Li 0.0000 0.0000 0.5000 1
Nb1 Nb 0.5000 0.5000 0.0000 1
Sb1 Sb 0.0000 0.5000 0.5000 1

---

# Mg2InHRu, relaxed, DFT PBE
# Raw total energy: -18.998 eV per cell
# Crystal system: tetragonal
# N(E_F): 2.46 states/eV/f.u.
data_Mg2InHRu
_space_group_name_H-M_alt 'P 4/m m m'
_space_group_IT_number 123
_space_group_name_Hall '-P 4 2'
_cell_length_a 4.4561
_cell_length_b 4.4561
_cell_length_c 3.7109
_cell_angle_alpha 90.00
_cell_angle_beta 90.00
_cell_angle_gamma 90.00
loop_
_atom_site_label
_atom_site_type_symbol
_atom_site_fract_x
_atom_site_fract_y
_atom_site_fract_z
_atom_site_occupancy
Mg1 Mg 0.0000 0.5000 0.0000 1
In1 In 0.0000 0.0000 0.5000 1
H1 H 0.5000 0.5000 0.0000 1
Ru1 Ru 0.5000 0.5000 0.5000 1

---

# InRe2F, relaxed, DFT PBE
# Formation energy without anion corrections: 1.059 eV/atom
# Crystal system: cubic
# N(E_F): 5.41 states/eV/f.u.
# Relative energy among the computed polymorphs: 3.115 eV per formula unit
data_InRe2F
_space_group_name_H-M_alt 'F m -3 m'
_space_group_IT_number 225
_space_group_name_Hall '-F 4 2 3'
_cell_length_a 6.3126
_cell_length_b 6.3126
_cell_length_c 6.3126
_cell_angle_alpha 90.00
_cell_angle_beta 90.00
_cell_angle_gamma 90.00
loop_
_atom_site_label
_atom_site_type_symbol
_atom_site_fract_x
_atom_site_fract_y
_atom_site_fract_z
_atom_site_occupancy
In1 In 0.0000 0.0000 0.0000 1
Re1 Re 0.2500 0.2500 0.2500 1
F1 F 0.0000 0.0000 0.5000 1